# Tc2BSe (GGA-PBEsol, relaxed)
data_Tc2BSe
_space_group_name_H-M_alt 'F m -3 m'
_space_group_IT_number 225
_space_group_name_Hall '-F 4 2 3'
_cell_length_a 5.773
_cell_length_b 5.773
_cell_length_c 5.773
_cell_angle_alpha 90.00
_cell_angle_beta 90.00
_cell_angle_gamma 90.00
loop_
_atom_site_label
_atom_site_fract_x
_atom_site_fract_y
_atom_site_fract_z
_atom_site_occupancy
Tc1 0.250 0.250 0.250 1
B1 0.000 0.000 0.000 1
Se1 0.000 0.000 0.500 1
# Fermi-level density of states   0.574 states/eV per atom
# Total energy   -8.0975 eV/atom
# Density   9.9 g/cm³
# Raw formation energy   0.2523 eV/atom